No. 1
First-principles (GGA-PBE) data for a relaxed structure of NbPtAuSe2, as listed in the Alexandria database.

a b c (Å): 4.8846 5.0424 4.8846
angles (deg): 90.00 90.00 90.00
Closest atoms and distances in Å follow each position.
Fractional coordinates of all 5 atoms:
Nb: 0.5000 0.5000 0.5000  4 Au 3.45, 8 Se 3.51
Au: 0.0000 0.5000 0.0000  2 Pt 2.52
Se: 0.0000 0.0000 0.5000  2 Pt 2.44
Se: 0.5000 0.0000 0.0000  2 Pt 2.44
Pt: 0.0000 0.0000 0.0000  4 Se 2.44, 2 Au 2.52

Output
theoretical density: 8.873 g/cm³
uncorrected formation energy: 0.768 eV per atom
E_tot: -0.1655 hartree per atom
crystal system: tetragonal
size of the total moment: 0.507 μB/atom

***

No. 2
First-principles (GGA-PBE) data for a relaxed structure of Nb2SiPtAu, as listed in the Alexandria database.

a b c (Å): 4.9930 4.3983 4.9930
angles (deg): 90.00 90.00 90.00
Closest atoms and distances in Å follow each position.
Fractional coordinates of all 5 atoms:
Nb: 0.0000 0.0000 0.5000  2 Pt 2.50
Nb: 0.5000 0.0000 0.0000  2 Pt 2.50
Au: 0.5000 0.5000 0.5000  8 Nb 3.33, 4 Si 3.53
Si: 0.0000 0.5000 0.0000  2 Pt 2.20
Pt: 0.0000 0.0000 0.0000  2 Si 2.20

Output
theoretical density: 9.177 g/cm³
uncorrected formation energy: 0.813 eV per atom
E_tot: -0.2265 hartree per atom
crystal system: tetragonal
size of the total moment: 0.000 μB/atom

***

No. 3
First-principles (GGA-PBE) data for a relaxed structure of NbZnPtAu, as listed in the Alexandria database.

a b c (Å): 2.9163 2.9163 7.6755
angles (deg): 90.00 90.00 90.00
Closest atoms and distances in Å follow each position.
Fractional coordinates of all 4 atoms:
Nb: 0.5000 0.5000 0.8111  4 Pt 2.82, 4 Nb 2.92, 4 Au 2.93
Zn: 0.5000 0.5000 0.3301  4 Pt 2.72, 4 Au 2.80, 4 Zn 2.92
Pt: 0.0000 0.0000 0.5605  4 Zn 2.72, 4 Nb 2.82, 4 Pt 2.92
Au: 0.0000 0.0000 0.0830  4 Zn 2.80, 4 Au 2.92, 4 Nb 2.93

Output
theoretical density: 14.000 g/cm³
E_tot: -0.2047 hartree per atom
crystal system: tetragonal
size of the total moment: 0.000 μB/atom

***

No. 4
First-principles (GGA-PBE) data for a relaxed structure of Nb2ZnPtAu, as listed in the Alexandria database.

a b c (Å): 4.8846 5.0410 4.8846
angles (deg): 90.00 90.00 90.00
Closest atoms and distances in Å follow each position.
Fractional coordinates of all 5 atoms:
Nb: 0.0000 0.0000 0.5000  2 Pt 2.44
Nb: 0.5000 0.0000 0.0000  2 Pt 2.44
Au: 0.0000 0.5000 0.0000  2 Pt 2.52
Zn: 0.5000 0.5000 0.5000  4 Au 3.45, 8 Nb 3.51
Pt: 0.0000 0.0000 0.0000  4 Nb 2.44, 2 Au 2.52

Output
theoretical density: 8.881 g/cm³
E_tot: -0.1885 hartree per atom
crystal system: tetragonal
size of the total moment: 0.000 μB/atom

***

No. 5
First-principles (GGA-PBE) data for a relaxed structure of PuNbAu2, as listed in the Alexandria database.

a b c (Å): 3.0180 3.0180 8.7145
angles (deg): 90.00 90.00 90.00
Closest atoms and distances in Å follow each position.
Fractional coordinates of all 4 atoms:
Nb: 0.5000 0.5000 0.0000  8 Au 2.91, 4 Nb 3.02
Au: 0.0000 0.0000 0.7737  4 Nb 2.91, 4 Au 3.02, 4 Pu 3.20
Au: 0.0000 0.0000 0.2263  4 Nb 2.91, 4 Au 3.02, 4 Pu 3.20
Pu: 0.5000 0.5000 0.5000  4 Pu 3.02, 8 Au 3.20

Output
theoretical density: 15.289 g/cm³
E_tot: -0.2913 hartree per atom
crystal system: tetragonal
size of the total moment: 1.388 μB/atom

***

No. 6
First-principles (GGA-PBE) data for a relaxed structure of RbNb2Au, as listed in the Alexandria database.

a b c (Å): 4.8471 4.8471 4.8471
angles (deg): 60.00 60.00 60.00
Closest atoms and distances in Å follow each position.
Fractional coordinates of all 4 atoms:
Nb: 0.2500 0.2500 0.2500  4 Au 2.97, 4 Rb 2.97
Nb: 0.7500 0.7500 0.7500  4 Au 2.97, 4 Rb 2.97
Au: 0.5000 0.5000 0.5000  8 Nb 2.97
Rb: 0.0000 0.0000 0.0000  8 Nb 2.97

Output
theoretical density: 9.656 g/cm³
E_tot: -0.1759 hartree per atom
crystal system: cubic
size of the total moment: 0.000 μB/atom

***

No. 7
First-principles (GGA-PBE) data for a relaxed structure of Rb2NbAu, as listed in the Alexandria database.

a b c (Å): 12.6245 12.6245 9.3194
angles (deg): 47.37 47.37 90.00
Closest atoms and distances in Å follow each position.
Fractional coordinates of all 8 atoms:
Nb: 0.5000 0.5000 0.0000  2 Au 2.68
Nb: 0.2500 0.7500 0.5000  2 Au 2.68
Au: 0.0000 0.0000 0.0000  2 Nb 2.68
Au: 0.7500 0.2500 0.5000  2 Nb 2.68
Rb: 0.7801 0.1250 0.2500  2 Au 3.44
Rb: 0.9699 0.6250 0.2500  2 Au 3.44
Rb: 0.3750 0.2199 0.7500  2 Au 3.44
Rb: 0.8750 0.0301 0.7500  2 Au 3.44

Output
theoretical density: 3.588 g/cm³
E_tot: -0.1088 hartree per atom
crystal system: tetragonal
size of the total moment: 1.028 μB/atom

***

No. 8
First-principles (GGA-PBE) data for a relaxed structure of RbNb3Au, as listed in the Alexandria database.

a b c (Å): 4.7683 4.7683 4.7683
angles (deg): 90.00 90.00 90.00
Closest atoms and distances in Å follow each position.
Fractional coordinates of all 5 atoms:
Nb: 0.0000 0.5000 0.0000  2 Rb 2.38
Nb: 0.0000 0.0000 0.5000  2 Rb 2.38
Nb: 0.5000 0.0000 0.0000  2 Rb 2.38
Au: 0.5000 0.5000 0.5000  12 Nb 3.37
Rb: 0.0000 0.0000 0.0000  6 Nb 2.38

Output
theoretical density: 8.595 g/cm³
E_tot: -0.1562 hartree per atom
crystal system: cubic
size of the total moment: 0.000 μB/atom